1.
A relaxed TbMg2Cd2 crystal, computed with PBE.

Cell: 13.792 4.328 4.327 Å, 90.00 108.05 90.00°
Space group C2/m (No. 12)
Unique sites:
Tb: 0.000 0.000 0.000
Mg: 0.250 0.000 0.751
Cd: 0.105 0.500 0.605

Output
spin magnetization = 0.00 μB/f.u.
DFT formation energy = -0.158 eV/atom
D(E_F) = 5.3 states/eV/cell
theoretical density = 5.846 g/cm3
distance to the lowest polymorph of the same formula = 25.4 meV/atom
crystal system = monoclinic

***

2.
A relaxed Tb4Mg5Cd crystal, computed with PBE.

Cell: 3.776 3.776 18.456 Å, 90.00 90.00 90.00°
Space group P4/mmm (No. 123)
Unique sites:
Tb: 0.000 0.000 0.104
Tb: 0.000 0.000 0.306
Mg: 0.500 0.500 0.000
Mg: 0.500 0.500 0.206
Mg: 0.500 0.500 0.414
Cd: 0.000 0.000 0.500

Output
spin magnetization = 0.00 μB/f.u.
DFT formation energy = -0.097 eV/atom
D(E_F) = 9.6 states/eV/cell
theoretical density = 5.488 g/cm3
distance to the lowest polymorph of the same formula = 21.3 meV/atom
crystal system = tetragonal

***

3.
A relaxed TbMgCd11 crystal, computed with PBE.

Cell: 5.982 14.009 7.624 Å, 90.00 113.05 90.00°
Space group C2/m (No. 12)
Unique sites:
Tb: 0.000 0.000 0.000
Mg: 0.000 0.000 0.500
Cd: 0.000 0.500 0.500
Cd: 0.113 0.394 0.214
Cd: 0.172 0.174 0.350
Cd: 0.250 0.250 0.000

Output
spin magnetization = 0.00 μB/f.u.
DFT formation energy = -0.102 eV/atom
D(E_F) = 5.0 states/eV/cell
theoretical density = 8.021 g/cm3
crystal system = monoclinic

***

4.
A relaxed Tb5MgCd2 crystal, computed with PBE.

Cell: 4.844 11.279 16.450 Å, 90.00 90.00 90.00°
Space group Cmcm (No. 63)
Unique sites:
Tb: 0.000 0.009 0.250
Tb: 0.000 0.151 0.034
Tb: 0.000 0.458 0.099
Mg: 0.000 0.288 0.250
Cd: 0.000 0.266 0.654

Output
spin magnetization = 0.00 μB/f.u.
DFT formation energy = -0.083 eV/atom
D(E_F) = 31.3 states/eV/cell
theoretical density = 7.714 g/cm3
crystal system = orthorhombic

***

5.
A relaxed TbMg5Cd6 crystal, computed with PBE.

Cell: 4.807 7.735 7.627 Å, 90.00 108.14 90.00°
Space group P2/m (No. 10)
Unique sites:
Tb: 0.000 0.000 0.000
Mg: 0.000 0.500 0.000
Mg: 0.332 0.500 0.662
Mg: 0.333 0.000 0.666
Cd: 0.169 0.255 0.340
Cd: 0.500 0.267 0.000

Output
spin magnetization = 0.00 μB/f.u.
DFT formation energy = -0.155 eV/atom
D(E_F) = 5.1 states/eV/cell
theoretical density = 5.884 g/cm3
crystal system = monoclinic

***

6.
A relaxed TbMg2Cd2 crystal, computed with PBE.

Cell: 8.586 4.954 6.352 Å, 90.00 116.65 90.00°
Space group C2/m (No. 12)
Unique sites:
Tb: 0.000 0.000 0.000
Mg: 0.208 0.000 0.622
Cd: 0.088 0.500 0.763

Output
spin magnetization = 0.00 μB/f.u.
DFT formation energy = -0.184 eV/atom
D(E_F) = 5.1 states/eV/cell
theoretical density = 5.946 g/cm3
distance to the lowest polymorph of the same formula = 0.0 meV/atom
crystal system = monoclinic

***

7.
A relaxed TbMg5Cd7 crystal, computed with PBE.

Cell: 6.039 9.903 9.777 Å, 90.00 90.00 90.00°
Space group Imm2 (No. 44)
Unique sites:
Tb: 0.000 0.000 0.000
Mg: 0.000 0.500 0.282
Mg: 0.248 0.253 0.749
Cd: 0.000 0.000 0.348
Cd: 0.000 0.000 0.660
Cd: 0.000 0.287 0.496
Cd: 0.000 0.347 0.002
Cd: 0.000 0.500 0.711

Output
spin magnetization = 0.00 μB/f.u.
DFT formation energy = -0.142 eV/atom
D(E_F) = 6.5 states/eV/cell
theoretical density = 6.063 g/cm3
crystal system = orthorhombic

***

8.
A relaxed TbMg2Cd crystal, computed with PBE.

Cell: 5.850 3.245 10.798 Å, 90.00 100.84 90.00°
Space group Cm (No. 8)
Unique sites:
Tb: 0.000 0.000 0.000
Mg: 0.230 0.000 0.735
Mg: 0.412 0.000 0.270
Cd: 0.320 0.500 0.502

Output
spin magnetization = 0.00 μB/f.u.
DFT formation energy = -0.010 eV/atom
D(E_F) = 6.0 states/eV/cell
theoretical density = 5.278 g/cm3
distance to the lowest polymorph of the same formula = 193.0 meV/atom
crystal system = monoclinic

***

9.
A relaxed Tb3Mg4Cd4 crystal, computed with PBE.

Cell: 3.438 5.018 15.949 Å, 98.99 96.13 90.02°
Space group P-1 (No. 2)
Unique sites:
Tb: 0.000 0.000 0.000
Tb: 0.143 0.640 0.281
Mg: 0.264 0.264 0.528
Mg: 0.402 0.908 0.816
Cd: 0.315 0.817 0.632
Cd: 0.452 0.453 0.906

Output
spin magnetization = 0.00 μB/f.u.
DFT formation energy = -0.223 eV/atom
D(E_F) = 7.5 states/eV/cell
theoretical density = 6.292 g/cm3
crystal system = triclinic

***

10.
A relaxed Tb3Mg2Cd7 crystal, computed with PBE.

Cell: 5.169 4.762 12.333 Å, 90.00 90.09 90.00°
Space group P2/m (No. 10)
Unique sites:
Tb: 0.000 0.000 0.000
Tb: 0.498 0.500 0.673
Mg: 0.003 0.000 0.288
Cd: 0.001 0.500 0.160
Cd: 0.250 0.000 0.501
Cd: 0.499 0.000 0.846
Cd: 0.500 0.500 0.000

Output
spin magnetization = 0.00 μB/f.u.
DFT formation energy = -0.148 eV/atom
D(E_F) = 5.2 states/eV/cell
theoretical density = 7.178 g/cm3
distance to the lowest polymorph of the same formula = 5.7 meV/atom
crystal system = monoclinic

***

11.
A relaxed Tb8MgCd2 crystal, computed with PBE.

Cell: 17.991 5.299 7.179 Å, 90.00 107.33 90.00°
Space group C2/m (No. 12)
Unique sites:
Tb: 0.025 0.000 0.264
Tb: 0.093 0.500 0.965
Tb: 0.168 0.500 0.462
Tb: 0.188 0.000 0.781
Mg: 0.000 0.500 0.500
Cd: 0.188 0.000 0.202

Output
spin magnetization = 0.00 μB/f.u.
DFT formation energy = -0.068 eV/atom
D(E_F) = 20.6 states/eV/cell
theoretical density = 7.729 g/cm3
distance to the lowest polymorph of the same formula = 46.7 meV/atom
crystal system = monoclinic

***

12.
A relaxed Tb3Mg6Cd2 crystal, computed with PBE.

Cell: 4.193 4.193 33.928 Å, 90.00 90.00 90.00°
Space group I4/mmm (No. 139)
Unique sites:
Tb: 0.000 0.000 0.000
Tb: 0.000 0.000 0.169
Mg: 0.000 0.000 0.271
Mg: 0.000 0.500 0.079
Cd: 0.000 0.000 0.359

Output
spin magnetization = 0.73 μB/f.u.
DFT formation energy = 0.031 eV/atom
D(E_F) = 16.3 states/eV/cell
theoretical density = 4.718 g/cm3
crystal system = tetragonal

***

Question: Among the records above, which one has the highest theoretical density?
Answer: TbMgCd11

***

What did the third record say?
A relaxed TbMgCd11 crystal, computed with PBE.

Cell: 5.982 14.009 7.624 Å, 90.00 113.05 90.00°
Space group C2/m (No. 12)
Unique sites:
Tb: 0.000 0.000 0.000
Mg: 0.000 0.000 0.500
Cd: 0.000 0.500 0.500
Cd: 0.113 0.394 0.214
Cd: 0.172 0.174 0.350
Cd: 0.250 0.250 0.000

Output
spin magnetization = 0.00 μB/f.u.
DFT formation energy = -0.102 eV/atom
D(E_F) = 5.0 states/eV/cell
theoretical density = 8.021 g/cm3
crystal system = monoclinic

***

Question: The highest spin magnetization belongs to which entry?
Answer: Tb3Mg6Cd2